# Nd8Si3I4Br, optimized geometry, DFT GGA-PBE
data_Nd8Si3I4Br
_symmetry_space_group_name_H-M 'R -3 m'
_symmetry_Int_Tables_number 166
_symmetry_space_group_name_Hall '-R 3 2"'
_cell_length_a 8.6931
_cell_length_b 8.6931
_cell_length_c 22.9359
_cell_angle_alpha 90.00
_cell_angle_beta 90.00
_cell_angle_gamma 120.00
loop_
_atom_site_label
_atom_site_type_symbol
_atom_site_fract_x
_atom_site_fract_y
_atom_site_fract_z
Nd1 Nd 0.0000 0.0000 0.2323
Nd2 Nd 0.0209 0.5105 0.7673
Si1 Si 0.0000 0.5000 0.5000
I1 I 0.0000 0.0000 0.0000
I2 I 0.0000 0.5000 0.0000
Br1 Br 0.0000 0.0000 0.5000
# * energy relative to the elements, uncorrected: -94.6 kJ/mol of atoms
# * raw total energy: -4.874 eV per atom
# * crystal system: trigonal
# * size of the total moment: 0.00 μB/cell

# La2TbNi, optimized geometry, DFT GGA-PBE
data_La2TbNi
_symmetry_space_group_name_H-M 'P n m a'
_symmetry_Int_Tables_number 62
_cell_length_a 7.0732
_cell_length_b 10.1878
_cell_length_c 6.4531
_cell_angle_alpha 90.00
_cell_angle_beta 90.00
_cell_angle_gamma 90.00
loop_
_symmetry_equiv_pos_as_xyz
'x,y,z'
'-x,-y,-z'
'-x+1/2,-y,z+1/2'
'x+1/2,y,-z+1/2'
'x+1/2,-y+1/2,-z+1/2'
'-x+1/2,y+1/2,z+1/2'
'-x,y+1/2,-z'
'x,-y+1/2,z'
loop_
_atom_site_label
_atom_site_type_symbol
_atom_site_fract_x
_atom_site_fract_y
_atom_site_fract_z
La1 La 0.1750 0.0680 0.1755
Tb1 Tb 0.0357 0.2500 0.6589
Ni1 Ni 0.1183 0.7500 0.9369
# * raw total energy: -5.256 eV per atom
# * relative energy among the computed polymorphs: 0 meV/atom
# * crystal system: orthorhombic
# * calculated formation energy: -0.19 eV/atom
# * size of the total moment: 0.00 μB/cell

# LiTlReNi2, optimized geometry, DFT GGA-PBE
data_LiTlReNi2
_symmetry_space_group_name_H-M 'P 4/m m m'
_symmetry_Int_Tables_number 123
_symmetry_space_group_name_Hall '-P 4 2'
_cell_length_a 4.0400
_cell_length_b 4.0400
_cell_length_c 4.4019
_cell_angle_alpha 90.00
_cell_angle_beta 90.00
_cell_angle_gamma 90.00
loop_
_atom_site_label
_atom_site_type_symbol
_atom_site_fract_x
_atom_site_fract_y
_atom_site_fract_z
Li1 Li 0.0000 0.0000 0.0000
Tl1 Tl 0.0000 0.0000 0.5000
Re1 Re 0.5000 0.5000 0.5000
Ni1 Ni 0.0000 0.5000 0.0000
# * raw total energy: -4.534 eV per atom
# * crystal system: tetragonal
# * calculated formation energy: 1.12 eV/atom
# * size of the total moment: 1.67 μB/cell

# TlFeNiCl5, optimized geometry, DFT GGA-PBE
data_TlFeNiCl5
_symmetry_space_group_name_H-M 'C 1 2/c 1'
_symmetry_Int_Tables_number 15
_cell_length_a 9.7420
_cell_length_b 11.4138
_cell_length_c 8.2496
_cell_angle_alpha 90.00
_cell_angle_beta 103.32
_cell_angle_gamma 90.00
loop_
_symmetry_equiv_pos_as_xyz
'x,y,z'
'-x,-y,-z'
'-x,y,-z+1/2'
'x,-y,z+1/2'
'x+1/2,y+1/2,z'
'-x+1/2,-y+1/2,-z'
'-x+1/2,y+1/2,-z+1/2'
'x+1/2,-y+1/2,z+1/2'
loop_
_atom_site_label
_atom_site_type_symbol
_atom_site_fract_x
_atom_site_fract_y
_atom_site_fract_z
Tl1 Tl 0.0000 0.1330 0.2500
Fe1 Fe 0.0000 0.2223 0.7500
Ni1 Ni 0.0000 0.5000 0.0000
Cl1 Cl 0.0000 0.4228 0.2500
Cl2 Cl 0.1204 0.3408 0.6113
Cl3 Cl 0.1430 0.1057 0.9322
# * energy relative to the elements, uncorrected: -70.4 kJ/mol of atoms
# * raw total energy: -3.960 eV per atom
# * crystal system: monoclinic
# * size of the total moment: 16.08 μB/cell

# HoSi3OsRu, optimized geometry, DFT GGA-PBE
data_HoSi3OsRu
_symmetry_space_group_name_H-M 'C m c m'
_symmetry_Int_Tables_number 63
_symmetry_space_group_name_Hall '-C 2c 2'
_cell_length_a 7.6180
_cell_length_b 11.4836
_cell_length_c 5.3525
_cell_angle_alpha 90.00
_cell_angle_beta 90.00
_cell_angle_gamma 90.00
loop_
_atom_site_label
_atom_site_type_symbol
_atom_site_fract_x
_atom_site_fract_y
_atom_site_fract_z
Ho1 Ho 0.0000 0.2092 0.2500
Si1 Si 0.0000 0.2538 0.7500
Si2 Si 0.2480 0.5000 0.0000
Os1 Os 0.0000 0.0610 0.7500
Ru1 Ru 0.0000 0.4413 0.7500
# * energy relative to the elements, uncorrected: -33.6 kJ/mol of atoms
# * raw total energy: -7.241 eV per atom
# * crystal system: orthorhombic
# * size of the total moment: 0.00 μB/cell

# Ho5N4, optimized geometry, DFT GGA-PBE
data_Ho5N4
_symmetry_space_group_name_H-M 'I 4/m m m'
_symmetry_Int_Tables_number 139
_symmetry_space_group_name_Hall '-I 4 2'
_cell_length_a 10.1418
_cell_length_b 10.1418
_cell_length_c 3.1037
_cell_angle_alpha 90.00
_cell_angle_beta 90.00
_cell_angle_gamma 90.00
loop_
_atom_site_label
_atom_site_type_symbol
_atom_site_fract_x
_atom_site_fract_y
_atom_site_fract_z
Ho1 Ho 0.0000 0.0000 0.0000
Ho2 Ho 0.0000 0.2632 0.0000
N1 N 0.1401 0.1401 0.5000
# * energy relative to the elements, uncorrected: -39.0 kJ/mol of atoms
# * raw total energy: -6.648 eV per atom
# * relative energy among the computed polymorphs: 823 meV/atom
# * crystal system: tetragonal
# * size of the total moment: 0.00 μB/cell

# Y2Ti2Mo, optimized geometry, DFT GGA-PBE
data_Y2Ti2Mo
_symmetry_space_group_name_H-M 'P 4/m b m'
_symmetry_Int_Tables_number 127
_symmetry_space_group_name_Hall '-P 4 2ab'
_cell_length_a 6.5946
_cell_length_b 6.5946
_cell_length_c 5.1833
_cell_angle_alpha 90.00
_cell_angle_beta 90.00
_cell_angle_gamma 90.00
loop_
_atom_site_label
_atom_site_type_symbol
_atom_site_fract_x
_atom_site_fract_y
_atom_site_fract_z
Y1 Y 0.1754 0.3246 0.0000
Ti1 Ti 0.1488 0.6488 0.5000
Mo1 Mo 0.0000 0.0000 0.5000
# * raw total energy: -7.671 eV per atom
# * crystal system: tetragonal
# * calculated formation energy: 0.24 eV/atom
# * size of the total moment: 0.00 μB/cell

# Tl2ZnHgH, optimized geometry, DFT GGA-PBE
data_Tl2ZnHgH
_symmetry_space_group_name_H-M 'P 4/m m m'
_symmetry_Int_Tables_number 123
_symmetry_space_group_name_Hall '-P 4 2'
_cell_length_a 5.7521
_cell_length_b 5.7521
_cell_length_c 3.4567
_cell_angle_alpha 90.00
_cell_angle_beta 90.00
_cell_angle_gamma 90.00
loop_
_atom_site_label
_atom_site_type_symbol
_atom_site_fract_x
_atom_site_fract_y
_atom_site_fract_z
Tl1 Tl 0.0000 0.5000 0.0000
Zn1 Zn 0.0000 0.0000 0.0000
Hg1 Hg 0.5000 0.5000 0.5000
H1 H 0.0000 0.0000 0.5000
# * raw total energy: -1.740 eV per atom
# * crystal system: tetragonal
# * size of the total moment: 0.00 μB/cell

# TcNiP2, optimized geometry, DFT GGA-PBE
data_TcNiP2
_symmetry_space_group_name_H-M 'R 3 m'
_symmetry_Int_Tables_number 160
_symmetry_space_group_name_Hall 'R 3 -2"'
_cell_length_a 3.1765
_cell_length_b 3.1765
_cell_length_c 18.5943
_cell_angle_alpha 90.00
_cell_angle_beta 90.00
_cell_angle_gamma 120.00
loop_
_atom_site_label
_atom_site_type_symbol
_atom_site_fract_x
_atom_site_fract_y
_atom_site_fract_z
Tc1 Tc 0.0000 0.0000 0.0000
Ni1 Ni 0.0000 0.0000 0.8508
P1 P 0.0000 0.0000 0.2516
P2 P 0.0000 0.0000 0.4244
# * raw total energy: -7.071 eV per atom
# * relative energy among the computed polymorphs: 15 meV/atom
# * crystal system: trigonal
# * calculated formation energy: -0.33 eV/atom
# * size of the total moment: 0.00 μB/cell

# HfTi5Te4, optimized geometry, DFT GGA-PBE
data_HfTi5Te4
_symmetry_space_group_name_H-M 'P m m n'
_symmetry_Int_Tables_number 59
_cell_length_a 7.7692
_cell_length_b 9.1755
_cell_length_c 6.7466
_cell_angle_alpha 90.00
_cell_angle_beta 90.00
_cell_angle_gamma 90.00
loop_
_symmetry_equiv_pos_as_xyz
'x,y,z'
'-x,-y,-z'
'-x+1/2,-y+1/2,z'
'x+1/2,y+1/2,-z'
'x+1/2,-y,-z'
'-x+1/2,y,z'
'-x,y+1/2,-z'
'x,-y+1/2,z'
loop_
_atom_site_label
_atom_site_type_symbol
_atom_site_fract_x
_atom_site_fract_y
_atom_site_fract_z
Hf1 Hf 0.2500 0.2500 0.2421
Ti1 Ti 0.0501 0.5131 0.7203
Ti2 Ti 0.2500 0.7500 0.7740
Te1 Te 0.0129 0.7500 0.4618
Te2 Te 0.2500 0.5312 0.0627
# * energy relative to the elements, uncorrected: -18.4 kJ/mol of atoms
# * raw total energy: -6.390 eV per atom
# * crystal system: orthorhombic
# * size of the total moment: 0.00 μB/cell

# Li4Ac2CdSn3, optimized geometry, DFT GGA-PBE
data_Li4Ac2CdSn3
_symmetry_space_group_name_H-M 'P -4 m 2'
_symmetry_Int_Tables_number 115
_cell_length_a 4.7487
_cell_length_b 4.7487
_cell_length_c 10.9546
_cell_angle_alpha 90.00
_cell_angle_beta 90.00
_cell_angle_gamma 90.00
loop_
_symmetry_equiv_pos_as_xyz
'x,y,z'
'y,-x,-z'
'-x,-y,z'
'-y,x,-z'
'-x,y,z'
'-y,-x,-z'
'x,-y,z'
'y,x,-z'
loop_
_atom_site_label
_atom_site_type_symbol
_atom_site_fract_x
_atom_site_fract_y
_atom_site_fract_z
Li1 Li 0.0000 0.0000 0.0000
Li2 Li 0.0000 0.5000 0.3746
Li3 Li 0.5000 0.5000 0.0000
Ac1 Ac 0.0000 0.5000 0.7618
Cd1 Cd 0.5000 0.5000 0.5000
Sn1 Sn 0.0000 0.0000 0.5000
Sn2 Sn 0.0000 0.5000 0.1314
# * raw total energy: -3.373 eV per atom
# * crystal system: tetragonal
# * calculated formation energy: -0.49 eV/atom
# * size of the total moment: 0.00 μB/cell

# PmPrThPb, optimized geometry, DFT GGA-PBE
data_PmPrThPb
_symmetry_space_group_name_H-M 'F -4 3 m'
_symmetry_Int_Tables_number 216
_symmetry_space_group_name_Hall 'F -4 2 3'
_cell_length_a 7.9409
_cell_length_b 7.9409
_cell_length_c 7.9409
_cell_angle_alpha 90.00
_cell_angle_beta 90.00
_cell_angle_gamma 90.00
loop_
_atom_site_label
_atom_site_type_symbol
_atom_site_fract_x
_atom_site_fract_y
_atom_site_fract_z
Pm1 Pm 0.0000 0.0000 0.0000
Pr1 Pr 0.0000 0.0000 0.5000
Th1 Th 0.2500 0.2500 0.7500
Pb1 Pb 0.2500 0.2500 0.2500
# * raw total energy: -5.226 eV per atom
# * crystal system: cubic
# * calculated formation energy: -0.06 eV/atom
# * size of the total moment: 0.00 μB/cell